No. 1
Entry from Alexandria via LeMat-Bulk: a geometry-optimized MgCrOs3 structure (GGA-PBE).

The structure belongs to space group Pm-3m (No. 221); the cell edges are 4.4657, 4.4657 and 4.4657 Å and the angles 90.00°, 90.00° and 90.00°. The asymmetric unit holds Mg at (0.0000, 0.0000, 0.0000), Cr at (0.5000, 0.5000, 0.5000) and Os at (0.0000, 0.5000, 0.5000).

The calculation puts the energy of formation from the pure elements at 1.36 eV/atom. The calculation puts the total energy at -7.62 eV/atom. As for the energy above the most stable polymorph in this dataset: 0.0 kJ/mol of atoms.

No. 2
Entry from Alexandria via LeMat-Bulk: a geometry-optimized MgCr3Os structure (GGA-PBE).

The structure belongs to space group Pm-3m (No. 221); the cell edges are 4.7111, 4.7111 and 4.7111 Å and the angles 90.00°, 90.00° and 90.00°. The asymmetric unit holds Mg at (0.0000, 0.0000, 0.0000), Cr at (0.0000, 0.5000, 0.5000) and Os at (0.5000, 0.5000, 0.5000).

The calculation puts the energy of formation from the pure elements at 1.13 eV/atom. The calculation puts the total energy at -7.21 eV/atom. As for the energy above the most stable polymorph in this dataset: 0.0 kJ/mol of atoms.

No. 3
Entry from Alexandria via LeMat-Bulk: a geometry-optimized Mg2CrReOs structure (GGA-PBE).

The structure belongs to space group P4/mmm (No. 123); the cell edges are 4.9741, 4.9741 and 4.6849 Å and the angles 90.00°, 90.00° and 90.00°. The asymmetric unit holds Mg at (0.0000, 0.5000, 0.0000), Cr at (0.0000, 0.0000, 0.5000), Re at (0.5000, 0.5000, 0.0000) and Os at (0.5000, 0.5000, 0.5000).

The calculation puts the energy of formation from the pure elements at 1.39 eV/atom. The calculation puts the total energy at -5.90 eV/atom.

No. 4
Entry from Alexandria via LeMat-Bulk: a geometry-optimized MgCrOsRu structure (GGA-PBE).

The structure belongs to space group F-43m (No. 216); the cell edges are 6.0376, 6.0376 and 6.0376 Å and the angles 90.00°, 90.00° and 90.00°. The asymmetric unit holds Mg at (0.0000, 0.0000, 0.0000), Cr at (0.0000, 0.0000, 0.5000), Os at (0.2500, 0.2500, 0.2500) and Ru at (0.2500, 0.2500, 0.7500).

The calculation puts the energy of formation from the pure elements at 0.14 eV/atom. The calculation puts the total energy at -7.79 eV/atom.

No. 5
Entry from Alexandria via LeMat-Bulk: a geometry-optimized MgCr2SiOs structure (GGA-PBE).

The structure belongs to space group P4/mmm (No. 123); the cell edges are 4.5063, 4.5063 and 4.5386 Å and the angles 90.00°, 90.00° and 90.00°. The asymmetric unit holds Mg at (0.0000, 0.0000, 0.0000), Cr at (0.0000, 0.5000, 0.0000), Si at (0.5000, 0.5000, 0.5000) and Os at (0.0000, 0.0000, 0.5000).

The value obtained for the uncorrected formation energy is 1920 meV per atom. The calculation puts the total energy at -5.58 eV/atom.

No. 6
Entry from Alexandria via LeMat-Bulk: a geometry-optimized MgCrSnOs2 structure (GGA-PBE).

The structure belongs to space group P4/mmm (No. 123); the cell edges are 4.5839, 4.5839 and 4.3849 Å and the angles 90.00°, 90.00° and 90.00°. The asymmetric unit holds Mg at (0.0000, 0.0000, 0.0000), Cr at (0.0000, 0.0000, 0.5000), Sn at (0.5000, 0.5000, 0.5000) and Os at (0.0000, 0.5000, 0.0000).

The calculation puts the energy of formation from the pure elements at 1.72 eV/atom. The calculation puts the total energy at -5.82 eV/atom.